Arrangement 1

Zn2OsW | Alexandria | GGA-PBE | relaxed; size of the total moment = 0.00 μB per atom; DOS at the Fermi energy = 3.39 states/eV per cell; space group = Cm (8)
1.0
4.436 -1.404 0.000
4.436 1.404 0.000
-0.667 0.000 4.761
Zn Os W
2 1 1
direct
0.000 0.000 0.000 Zn
0.246 0.246 0.792 Zn
0.744 0.744 0.290 Os
0.494 0.494 0.497 W


Arrangement 2

Zn2OsW | Alexandria | GGA-PBE | relaxed; size of the total moment = 0.00 μB per atom; DOS at the Fermi energy = 4.09 states/eV per cell; space group = Pmmm (47)
1.0
2.769 0.000 0.000
0.000 4.132 0.000
0.000 0.000 5.183
Zn Os W
2 1 1
direct
0.000 0.000 0.246 Zn
0.000 0.000 0.754 Zn
0.500 0.500 0.000 Os
0.500 0.500 0.500 W


Arrangement 3

Zn2OsW | Alexandria | GGA-PBE | relaxed; size of the total moment = 0.00 μB per atom; DOS at the Fermi energy = 0.30 states/eV per cell; space group = F-43m (216)
1.0
0.000 3.081 3.081
3.081 0.000 3.081
3.081 3.081 0.000
Zn Os W
2 1 1
direct
0.000 0.000 0.000 Zn
0.250 0.250 0.250 Zn
0.500 0.500 0.500 Os
0.750 0.750 0.750 W


Arrangement 4

Zn2OsW | Alexandria | GGA-PBE | relaxed; size of the total moment = 0.00 μB per atom; DOS at the Fermi energy = 2.98 states/eV per cell; space group = P4/mmm (123)
1.0
4.356 0.000 0.000
0.000 4.356 0.000
0.000 0.000 3.022
Zn Os W
2 1 1
direct
0.000 0.500 0.000 Zn
0.500 0.000 0.000 Zn
0.000 0.000 0.500 Os
0.500 0.500 0.500 W


arrangement 3 comes first in stability; the runner-up is 86 meV per atom higher.


Arrangement 1

Zn2OsW | Alexandria | GGA-PBE | relaxed; size of the total moment = 0.00 μB per atom; DOS at the Fermi energy = 4.19 states/eV per cell; space group = P4/mmm (123)
1.0
2.683 0.000 0.000
0.000 2.683 0.000
0.000 0.000 8.205
Zn Os W
2 1 1
direct
0.000 0.000 0.242 Zn
0.000 0.000 0.758 Zn
0.500 0.500 0.000 Os
0.500 0.500 0.500 W


Arrangement 2

Zn2OsW | Alexandria | GGA-PBE | relaxed; size of the total moment = 0.00 μB per atom; DOS at the Fermi energy = 1.11 states/eV per cell; space group = C2/m (12)
1.0
4.633 -1.488 0.000
4.633 1.488 0.000
-1.176 0.000 4.310
Zn Os W
2 1 1
direct
0.246 0.246 0.243 Zn
0.754 0.754 0.757 Zn
0.500 0.500 0.000 Os
0.000 0.000 0.500 W


arrangement 2 comes first in stability; the runner-up is 165 meV per atom higher.


Arrangement 1

Zn2OsW | Alexandria | GGA-PBE | relaxed; size of the total moment = 0.00 μB per atom; DOS at the Fermi energy = 3.09 states/eV per cell; space group = P4/mmm (123)
1.0
3.760 0.000 0.000
0.000 3.760 0.000
0.000 0.000 4.189
Zn Os W
2 1 1
direct
0.000 0.500 0.000 Zn
0.500 0.000 0.000 Zn
0.000 0.000 0.500 Os
0.500 0.500 0.500 W


Arrangement 2

Zn2OsW | Alexandria | GGA-PBE | relaxed; size of the total moment = 0.00 μB per atom; DOS at the Fermi energy = 2.72 states/eV per cell; space group = Cmm2 (35)
1.0
1.470 -2.305 0.000
1.470 2.305 0.000
0.000 0.000 8.956
Zn Os W
2 1 1
direct
0.000 0.000 0.000 Zn
0.500 0.500 0.246 Zn
0.000 0.000 0.498 Os
0.500 0.500 0.741 W


arrangement 2 comes first in stability; the runner-up is 111 meV per atom higher.